Version i
Sr2LiCdPt after structural relaxation, computed with PBE.

The structure in CIF format:
```
data_Sr2LiCdPt
_space_group_name_H-M_alt 'P 4/m m m'
_space_group_IT_number 123
_space_group_name_Hall '-P 4 2'
_cell_length_a 5.8535
_cell_length_b 5.8535
_cell_length_c 5.3061
_cell_angle_alpha 90.00
_cell_angle_beta 90.00
_cell_angle_gamma 90.00
loop_
_atom_site_label
_atom_site_type_symbol
_atom_site_fract_x
_atom_site_fract_y
_atom_site_fract_z
Sr1 Sr 0.0000 0.5000 0.0000
Li1 Li 0.0000 0.0000 0.5000
Cd1 Cd 0.5000 0.5000 0.5000
Pt1 Pt 0.5000 0.5000 0.0000
```

Properties
ρ = 4.47 g/cm³
V = 181.8 Å³/f.u.
D(E_F) = 0.33 states/eV/atom


Version ii
Sr2LiCdPt after structural relaxation, computed with PBE.

The structure in CIF format:
```
data_Sr2LiCdPt
_space_group_name_H-M_alt 'P 4/m m m'
_space_group_IT_number 123
_space_group_name_Hall '-P 4 2'
_cell_length_a 6.0188
_cell_length_b 6.0188
_cell_length_c 4.6780
_cell_angle_alpha 90.00
_cell_angle_beta 90.00
_cell_angle_gamma 90.00
loop_
_atom_site_label
_atom_site_type_symbol
_atom_site_fract_x
_atom_site_fract_y
_atom_site_fract_z
Sr1 Sr 0.0000 0.5000 0.0000
Li1 Li 0.0000 0.0000 0.5000
Cd1 Cd 0.0000 0.0000 0.0000
Pt1 Pt 0.5000 0.5000 0.5000
```

Properties
ρ = 4.80 g/cm³
V = 169.5 Å³/f.u.
D(E_F) = 0.67 states/eV/atom


Version iii
Sr2LiCdPt after structural relaxation, computed with PBE.

The structure in CIF format:
```
data_Sr2LiCdPt
_space_group_name_H-M_alt 'P 4/m m m'
_space_group_IT_number 123
_space_group_name_Hall '-P 4 2'
_cell_length_a 5.8552
_cell_length_b 5.8552
_cell_length_c 4.8612
_cell_angle_alpha 90.00
_cell_angle_beta 90.00
_cell_angle_gamma 90.00
loop_
_atom_site_label
_atom_site_type_symbol
_atom_site_fract_x
_atom_site_fract_y
_atom_site_fract_z
Sr1 Sr 0.0000 0.5000 0.0000
Li1 Li 0.0000 0.0000 0.5000
Cd1 Cd 0.5000 0.5000 0.5000
Pt1 Pt 0.0000 0.0000 0.0000
```

Properties
ρ = 4.88 g/cm³
V = 166.7 Å³/f.u.
D(E_F) = 0.66 states/eV/atom


The structures above, arranged from the most stable to the least stable: version iii, version i, version ii.